Below is a geometry-optimized Ni2BiP2 structure, with properties calculated at the PBE level.

Cell: 4.0920 4.0920 9.1747 Å, 90.00 90.00 90.00°
Space group I4/mmm (No. 139)
Unique sites:
Ni 0.0000 0.5000 0.2500 [4 per cell]
Bi 0.0000 0.0000 0.0000 [2 per cell]
P 0.0000 0.0000 0.3719 [4 per cell]

Calculated values
ΔE_f ... -0.144 eV/atom
Relative energy among the computed polymorphs ... 0 meV/atom

Below is a geometry-optimized Zr2SiHg structure, with properties calculated at the PBE level.

Cell: 4.4313 4.4313 8.0662 Å, 90.00 90.00 90.00°
Space group I4/mmm (No. 139)
Unique sites:
Zr 0.0000 0.5000 0.2500 [4 per cell]
Si 0.0000 0.0000 0.0000 [2 per cell]
Hg 0.0000 0.0000 0.5000 [2 per cell]

Below is a geometry-optimized Rb2NbIr structure, with properties calculated at the PBE level.

Cell: 12.8689 12.8689 4.8270 Å, 90.00 90.00 90.00°
Space group I-42d (No. 122)
Unique sites:
Rb 0.0838 0.7500 0.1250 [8 per cell]
Nb 0.0000 0.0000 0.5000 [4 per cell]
Ir 0.0000 0.0000 0.0000 [4 per cell]

Calculated values
ΔE_f ... 1.089 eV/atom
Relative energy among the computed polymorphs ... 0 meV/atom

Below is a geometry-optimized KTlIn2Ag structure, with properties calculated at the PBE level.

Cell: 5.4783 5.4783 5.6937 Å, 90.00 90.00 90.00°
Space group P4/mmm (No. 123)
Unique sites:
K 0.0000 0.0000 0.0000 [1 per cell]
Tl 0.5000 0.5000 0.0000 [1 per cell]
In 0.0000 0.5000 0.5000 [2 per cell]
Ag 0.5000 0.5000 0.5000 [1 per cell]

Calculated values
ΔE_f ... 0.095 eV/atom

Below is a geometry-optimized Hf2MnBe structure, with properties calculated at the PBE level.

Cell: 3.1735 3.1735 6.2031 Å, 90.00 90.00 90.00°
Space group P4/mmm (No. 123)
Unique sites:
Hf 0.0000 0.0000 0.2461 [2 per cell]
Mn 0.5000 0.5000 0.0000 [1 per cell]
Be 0.5000 0.5000 0.5000 [1 per cell]

Calculated values
ΔE_f ... -0.140 eV/atom

Below is a geometry-optimized SrBe2OsO8 structure, with properties calculated at the PBE level.

Cell: 5.1762 5.1762 6.7891 Å, 90.00 90.00 120.00°
Space group P-3m1 (No. 164)
Unique sites:
Sr 0.0000 0.0000 0.0000 [1 per cell]
Be 0.3333 0.6667 0.2584 [2 per cell]
Os 0.0000 0.0000 0.5000 [1 per cell]
O 0.1653 0.3306 0.3370 [6 per cell]
O 0.3333 0.6667 0.0194 [2 per cell]

| no. | magnetization (μB per atom) | VASP energy (eV per atom) |
| --- | --- | --- |
| 1 | 0.00 | -5.397 |
| 2 | 0.00 | -6.011 |
| 3 | 0.73 | -4.128 |
| 4 | 0.00 | -2.263 |
| 5 | 0.00 | -8.341 |
| 6 | 0.17 | -6.492 |